A plane-wave DFT calculation with PBE+U was carried out for Sr2CuMoO after structural relaxation.

Results
The density of states at the Fermi level comes out at 0.651 states/eV per atom. As for the magnetic moment: 4.9 μB/cell. The value obtained for the total energy is -3.05 eV/atom.

a b c (Å): 6.1041 6.1041 4.7552
angles (deg): 90.00 90.00 90.00
Positions (direct):
Sr: 0.0000 0.5000 0.0000
Sr: 0.5000 0.0000 0.0000
Cu: 0.0000 0.0000 0.5000
Mo: 0.0000 0.0000 0.0000
O: 0.5000 0.5000 0.5000